This record from Alexandria describes an optimized crystal structure of Ac2ThTcO8. The functional is PBE.

Unit cell a=4.4247 b=7.4140 c=5.6536 alpha=90.00 beta=96.73 gamma=90.00
Space group P2/m (No. 10)
Asymmetric unit:
1 Ac 0.0000 0.2397 0.0000 [2 per cell]
2 Th 0.5000 0.5000 0.5000 [1 per cell]
3 Tc 0.5000 0.0000 0.5000 [1 per cell]
4 O 0.0582 0.5000 0.2560 [2 per cell]
5 O 0.1284 0.0000 0.3255 [2 per cell]
6 O 0.4260 0.2180 0.7195 [4 per cell]

Output
volume	15.3	Å³/atom
energy relative to the elements, uncorrected	-32.22	eV/f.u.
calculated density	8.2	Mg/m³